Material: ZrPPtO2
Method: DFT, PBE
State: optimized geometry

a = 3.9477 Å, b = 3.9477 Å, c = 5.8359 Å
α = 90.00°, β = 90.00°, γ = 90.00°
Last column: nearest neighbours and their distance in Å.
Fractional coordinates of all 5 atoms:
Zr  0.0000  0.0000  0.0000  4 O 1.97
P  0.0000  0.0000  0.5000  4 Pt 2.79, 2 Zr 2.92
Pt  0.5000  0.5000  0.5000  4 P 2.79
O  0.0000  0.5000  0.0000  2 Zr 1.97
O  0.5000  0.0000  0.0000  2 Zr 1.97

Calculated values
**Calculated volume**: 18.19 Å³/atom
**Magnetic moment**: 1.07 μB per cell
**SG**: P4/mmm, No. 123
**Polymorph energy (0 for the lowest one)**: 0.000 eV/atom



Material: ZrP2PtO
Method: DFT, PBE
State: optimized geometry

a = 4.7396 Å, b = 4.7396 Å, c = 3.8608 Å
α = 90.00°, β = 90.00°, γ = 90.00°
Last column: nearest neighbours and their distance in Å.
Fractional coordinates of all 5 atoms:
Zr  0.0000  0.0000  0.0000  8 P 3.06, 4 O 3.35
P  0.0000  0.5000  0.5000  2 Pt 2.37
P  0.5000  0.0000  0.5000  2 Pt 2.37
Pt  0.5000  0.5000  0.5000  2 O 1.93
O  0.5000  0.5000  0.0000  2 Pt 1.93

Calculated values
**Calculated volume**: 17.35 Å³/atom
**Magnetic moment**: 0.00 μB per cell
**SG**: P4/mmm, No. 123
**Polymorph energy (0 for the lowest one)**: 0.024 eV/atom



Material: ZrPPtO2
Method: DFT, PBE
State: optimized geometry

a = 4.0012 Å, b = 4.0012 Å, c = 4.6735 Å
α = 90.00°, β = 90.00°, γ = 90.00°
Last column: nearest neighbours and their distance in Å.
Fractional coordinates of all 5 atoms:
Zr  0.0000  0.0000  0.0000  4 P 2.83, 8 O 3.08
P  0.5000  0.5000  0.0000  2 Pt 2.34
Pt  0.5000  0.5000  0.5000  4 O 2.00
O  0.0000  0.5000  0.5000  2 Pt 2.00
O  0.5000  0.0000  0.5000  2 Pt 2.00

Calculated values
**Calculated volume**: 14.96 Å³/atom
**Magnetic moment**: 0.00 μB per cell
**SG**: P4/mmm, No. 123
**Polymorph energy (0 for the lowest one)**: 0.536 eV/atom



Material: Zr2PPtO
Method: DFT, PBE
State: optimized geometry

a = 5.1996 Å, b = 5.1996 Å, c = 4.2754 Å
α = 90.00°, β = 90.00°, γ = 90.00°
Last column: nearest neighbours and their distance in Å.
Fractional coordinates of all 5 atoms:
Zr  0.0000  0.5000  0.0000  2 Pt 2.60
Zr  0.5000  0.0000  0.0000  2 Pt 2.60
P  0.0000  0.0000  0.5000  2 Pt 2.14
Pt  0.0000  0.0000  0.0000  2 P 2.14
O  0.5000  0.5000  0.5000  8 Zr 3.37, 4 P 3.68

Calculated values
**Calculated volume**: 23.12 Å³/atom
**DFT total energy**: -6.290 eV per atom
**Magnetic moment**: 0.00 μB per cell
**SG**: P4/mmm, No. 123



Material: ZrP2PtO
Method: DFT, PBE
State: optimized geometry

a = 5.1307 Å, b = 5.1307 Å, c = 3.8920 Å
α = 90.00°, β = 90.00°, γ = 90.00°
Last column: nearest neighbours and their distance in Å.
Fractional coordinates of all 5 atoms:
Zr  0.0000  0.0000  0.0000  2 O 1.95
P  0.0000  0.5000  0.0000  2 Zr 2.57
P  0.5000  0.0000  0.0000  2 Zr 2.57
Pt  0.5000  0.5000  0.5000  8 P 3.22
O  0.0000  0.0000  0.5000  2 Zr 1.95

Calculated values
**Calculated volume**: 20.49 Å³/atom
**Magnetic moment**: 0.00 μB per cell
**SG**: P4/mmm, No. 123
**Polymorph energy (0 for the lowest one)**: 0.000 eV/atom



Material: Pu3P2O
Method: DFT, PBE
State: optimized geometry

a = 6.9991 Å, b = 6.9991 Å, c = 13.6995 Å
α = 92.12°, β = 92.12°, γ = 128.85°
Last column: nearest neighbours and their distance in Å.
Fractional coordinates of all 24 atoms:
Pu  0.0249  0.9751  0.7500  2 O 2.22
Pu  0.1295  0.5008  0.1261  1 O 2.39
Pu  0.1348  0.3364  0.5273  1 O 2.26
Pu  0.3364  0.1348  0.0273  1 O 2.26
Pu  0.3819  0.6181  0.7500  2 O 2.25
Pu  0.4992  0.8705  0.3739  1 O 2.39
Pu  0.5008  0.1295  0.6261  1 O 2.39
Pu  0.6181  0.3819  0.2500  2 O 2.25
Pu  0.6636  0.8652  0.9727  1 O 2.26
Pu  0.8652  0.6636  0.4727  1 O 2.26
Pu  0.8705  0.4992  0.8739  1 O 2.39
Pu  0.9751  0.0249  0.2500  2 O 2.22
P  0.0030  0.4162  0.3457  6 Pu 2.82-3.14
P  0.1378  0.3304  0.9264  6 Pu 2.85-3.10
P  0.3304  0.1378  0.4264  6 Pu 2.85-3.10
P  0.4162  0.0030  0.8457  6 Pu 2.82-3.14
P  0.5838  0.9970  0.1543  6 Pu 2.82-3.14
P  0.6696  0.8622  0.5736  6 Pu 2.85-3.10
P  0.8622  0.6696  0.0736  6 Pu 2.85-3.10
P  0.9970  0.5838  0.6543  6 Pu 2.82-3.14
O  0.2879  0.2906  0.1627  4 Pu 2.22-2.39
O  0.2906  0.2879  0.6627  4 Pu 2.22-2.39
O  0.7094  0.7121  0.3373  4 Pu 2.22-2.39
O  0.7121  0.7094  0.8373  4 Pu 2.22-2.39

Calculated values
**Calculated volume**: 21.70 Å³/atom
**Magnetic moment**: 20.08 μB per cell
**SG**: C2/c, No. 15
**Polymorph energy (0 for the lowest one)**: 0.137 eV/atom



> What is the formula in the second record?

ZrP2PtO